# 1
Computed, not measured: Sr2TaCr after structural relaxation at the PBE-GGA level of DFT.

Cell: 4.5283 4.5283 9.0124 Å, 84.46 84.46 44.60°
Last column: magnetic moment on the atom in μB.
Fractional positions:
Sr: 0.7630 0.7630 0.6668  -0.02
Sr: 0.9672 0.9672 0.0829  -0.01
Cr: 0.2483 0.2483 0.3522  1.92
Ta: 0.5215 0.5215 0.3981  -0.57

**Symmetry**: Cm
**Spin magnetization**: 1.2 μB per formula unit
**Volume**: 129 Å³/cell
**Energy of formation from the pure elements**: 73.5 kJ/mol of atoms

---

# 2
Computed, not measured: CsHI3 after structural relaxation at the PBE-GGA level of DFT.

Cell: 7.6209 7.6209 7.6209 Å, 90.00 90.00 90.00°
Last column: magnetic moment on the atom in μB.
Fractional positions:
H: 0.5000 0.5000 0.5000  0.38
I: 0.0000 0.5000 0.0000  0.44
I: 0.0000 0.0000 0.5000  0.34
I: 0.5000 0.0000 0.0000  0.40
Cs: 0.0000 0.0000 0.0000  0.00

**DFT total energy**: -7.3 eV per cell
**Symmetry**: Pm-3m
**Spin magnetization**: 3.0 μB per formula unit
**Volume**: 443 Å³/cell

---

# 3
Computed, not measured: Tb4PtI5 after structural relaxation at the PBE-GGA level of DFT.

Cell: 4.1758 8.9704 10.0118 Å, 102.23 102.04 90.00°
Fractional positions:
I: 0.1772 0.8316 0.3543
I: 0.8316 0.6583 0.6632
I: 0.1684 0.3417 0.3368
I: 0.8228 0.1684 0.6457
I: 0.5000 0.5000 0.0000
Tb: 0.6444 0.0746 0.2887
Tb: 0.0008 0.2053 0.0016
Tb: 0.9992 0.7947 0.9984
Tb: 0.3556 0.9254 0.7113
Pt: 0.5000 0.0000 0.0000

**Symmetry**: C2/m
**Spin magnetization**: 0.0 μB per formula unit
**Volume**: 358 Å³/cell
**Formation energy from raw total energies**: -1.236 eV per atom

---

# 4
Computed, not measured: AcNd2As after structural relaxation at the PBE-GGA level of DFT.

Cell: 4.0902 4.0902 10.0556 Å, 78.27 78.27 60.00°
Fractional positions:
Nd: 0.2741 0.2741 0.1777
Nd: 0.0593 0.0593 0.8221
Ac: 0.5002 0.5002 0.4992
As: 0.6663 0.6663 0.0010

**Symmetry**: R3m
**Spin magnetization**: 0.0 μB per formula unit
**Volume**: 142 Å³/cell
**Energy of formation from the pure elements**: -63.5 kJ/mol of atoms

---

# 5
Computed, not measured: SnMo2HOs after structural relaxation at the PBE-GGA level of DFT.

Cell: 5.0759 3.1519 5.0759 Å, 90.00 90.00 90.00°
Fractional positions:
Mo: 0.5000 0.0000 0.0000
Mo: 0.0000 0.0000 0.5000
Sn: 0.0000 0.0000 0.0000
H: 0.0000 0.5000 0.0000
Os: 0.5000 0.5000 0.5000

**DFT total energy**: -32.0 eV per cell
**Symmetry**: P4/mmm
**Spin magnetization**: 0.0 μB per formula unit
**Volume**: 81 Å³/cell